This record from Alexandria via LeMat-Bulk describes crystalline Th2Mn2Fe15 at its relaxed geometry. The functional is PBE.

Geometry as extended XYZ:
```
19
Lattice="4.2278 2.4409 4.2116 -4.2278 2.4409 4.2116 0.0000 -4.8819 4.2116" Properties=species:S:1:pos:R:3 pbc="T T T"
Th 0.0000 0.0000 1.9948
Th 0.0000 0.0000 10.6401
Mn 0.0000 0.0000 5.0732
Mn 0.0000 0.0000 7.5617
Fe -2.1139 -1.2205 4.2116
Fe 0.0000 -2.4425 4.0972
Fe -2.1152 1.2212 4.0972
Fe -1.2174 -2.1085 6.3175
Fe -2.4347 0.0000 6.3175
Fe -2.1152 -1.2212 8.5377
Fe -2.1139 1.2205 8.4233
Fe 1.2173 -2.1085 6.3175
Fe 0.0000 2.4409 4.2116
Fe -1.2173 2.1085 6.3175
Fe 2.1152 1.2212 4.0972
Fe 2.4347 0.0000 6.3175
Fe 1.2173 2.1085 6.3175
Fe 2.1153 -1.2212 8.5377
Fe 0.0000 2.4425 8.5377
```

Calculated values
Space-group type: R-3m (166)
Total moment: 1.92 μB per atom
DFT formation energy: 0.009 eV/atom
Electronic total energy: -0.30937 hartree per atom



This record from Alexandria via LeMat-Bulk describes crystalline Th4MnFe at its relaxed geometry. The functional is PBE.

Geometry as extended XYZ:
```
12
Lattice="6.1143 0.0000 0.0000 0.0000 6.7796 0.0000 -2.2918 0.0000 7.1625" Properties=species:S:1:pos:R:3 pbc="T T T"
Th -0.5681 6.7777 1.7857
Th -0.5681 3.3917 1.7857
Th 1.3090 1.6949 4.3820
Th 2.4732 1.6949 0.7915
Th 1.3494 5.0847 6.3710
Th 2.5136 5.0847 2.7805
Th 4.3907 0.0019 5.3768
Th 4.3907 3.3879 5.3768
Mn -0.0395 5.0847 3.9446
Mn 3.8620 1.6949 3.2179
Fe 1.0991 5.0847 0.3479
Fe 2.7234 1.6949 6.8146
```

Calculated values
Space-group type: P2_1/m (11)
Total moment: 0.00 μB per atom
DFT formation energy: 0.011 eV/atom
Electronic total energy: -0.28937 hartree per atom



This record from Alexandria via LeMat-Bulk describes crystalline ThMnFe at its relaxed geometry. The functional is PBE.

Geometry as extended XYZ:
```
6
Lattice="0.0000 4.2580 4.6082 2.7861 0.0000 4.6082 2.7861 4.2580 0.0000" Properties=species:S:1:pos:R:3 pbc="T T T"
Th 2.7861 4.2580 1.5379
Th 2.7861 4.2580 7.6785
Mn 2.7861 2.7432 4.6082
Mn 2.7861 5.7728 4.6082
Fe 1.3931 2.1290 2.3041
Fe 4.1792 6.3870 6.9123
```

Calculated values
Space-group type: Fmmm (69)
Total moment: 1.20 μB per atom
DFT formation energy: 0.296 eV/atom
Electronic total energy: -0.29600 hartree per atom